# MgSc2TaC, relaxed, DFT PBE-GGA
# **Final energy**: -36.4 eV per cell
# **D(E_F)**: 0.790 states/eV/atom
data_MgSc2TaC
_chemical_formula_sum 'Mg1 Sc2 Ta1 C1'
_cell_length_a 4.562
_cell_length_b 4.562
_cell_length_c 4.360
_cell_angle_alpha 90.00
_cell_angle_beta 90.00
_cell_angle_gamma 90.00
_symmetry_space_group_name_H-M 'P 4/m m m'
_symmetry_Int_Tables_number 123
_symmetry_space_group_name_Hall '-P 4 2'
loop_
_atom_site_label
_atom_site_fract_x
_atom_site_fract_y
_atom_site_fract_z
Mg1 0.000 0.000 0.000
Sc1 0.000 0.500 0.500
Ta1 0.500 0.500 0.000
C1 0.500 0.500 0.500

# OsPb2Br, relaxed, DFT PBE-GGA
# **Final energy**: -55.4 eV per cell
# **E above lowest polymorph**: 62 meV/atom
# **D(E_F)**: 0.940 states/eV/atom
# **Formation energy (no corrections)**: 0.4617 eV per atom
data_OsPb2Br
_chemical_formula_sum 'Os3 Pb6 Br3'
_cell_length_a 3.5907
_cell_length_b 3.5907
_cell_length_c 26.7058
_cell_angle_alpha 90.00
_cell_angle_beta 90.00
_cell_angle_gamma 120.00
_symmetry_space_group_name_H-M 'R -3 m'
_symmetry_Int_Tables_number 166
_symmetry_space_group_name_Hall '-R 3 2"'
loop_
_atom_site_label
_atom_site_fract_x
_atom_site_fract_y
_atom_site_fract_z
Os1 0.0000 0.0000 0.0000
Pb1 0.0000 0.0000 0.2604
Br1 0.0000 0.0000 0.5000

# MnAlV4, relaxed, DFT PBE-GGA
# **Final energy**: -89.8 eV per cell
# **E above lowest polymorph**: 888 meV/atom
# **D(E_F)**: 1.151 states/eV/atom
data_MnAlV4
_chemical_formula_sum 'Mn2 Al2 V8'
_cell_length_a 8.575
_cell_length_b 8.720
_cell_length_c 2.645
_cell_angle_alpha 90.00
_cell_angle_beta 90.00
_cell_angle_gamma 90.00
_symmetry_space_group_name_H-M 'C m m m'
_symmetry_Int_Tables_number 65
_symmetry_space_group_name_Hall '-C 2 2'
loop_
_atom_site_label
_atom_site_fract_x
_atom_site_fract_y
_atom_site_fract_z
Mn1 0.000 0.000 0.000
Al1 0.000 0.500 0.500
V1 0.000 0.249 0.000
V2 0.214 0.000 0.500

# Fe3Cu2Pd8, relaxed, DFT PBE-GGA
# **Final energy**: -213.9 eV per cell
# **E above lowest polymorph**: 252 meV/atom
# **D(E_F)**: 0.768 states/eV/atom
data_Fe3Cu2Pd8
_chemical_formula_sum 'Fe9 Cu6 Pd24'
_cell_length_a 5.1653
_cell_length_b 5.1653
_cell_length_c 27.1620
_cell_angle_alpha 90.00
_cell_angle_beta 90.00
_cell_angle_gamma 120.00
_symmetry_space_group_name_H-M 'R -3 m'
_symmetry_Int_Tables_number 166
_symmetry_space_group_name_Hall '-R 3 2"'
loop_
_atom_site_label
_atom_site_fract_x
_atom_site_fract_y
_atom_site_fract_z
Fe1 0.0000 0.0000 0.0000
Fe2 0.0000 0.0000 0.1878
Cu1 0.0000 0.0000 0.3664
Pd1 0.0000 0.0000 0.2777
Pd2 0.0004 0.5002 0.2228

# KSr2Br, relaxed, DFT PBE-GGA
# **Final energy**: -9.0 eV per cell
# **D(E_F)**: 0.804 states/eV/atom
# **Formation energy (no corrections)**: -0.7264 eV per atom
data_KSr2Br
_chemical_formula_sum 'K1 Sr2 Br1'
_cell_length_a 4.293
_cell_length_b 4.148
_cell_length_c 11.148
_cell_angle_alpha 90.00
_cell_angle_beta 101.07
_cell_angle_gamma 90.00
_symmetry_space_group_name_H-M 'P 1 m 1'
_symmetry_Int_Tables_number 6
loop_
_symmetry_equiv_pos_as_xyz
'x,y,z'
'x,-y,z'
loop_
_atom_site_label
_atom_site_fract_x
_atom_site_fract_y
_atom_site_fract_z
K1 0.000 0.000 0.000
Sr1 0.330 0.500 0.667
Sr2 0.691 0.000 0.388
Br1 0.579 0.500 0.158

# CuIr2Pt, relaxed, DFT PBE-GGA
# **Final energy**: -82.2 eV per cell
# **E above lowest polymorph**: 108 meV/atom
# **D(E_F)**: 1.529 states/eV/atom
data_CuIr2Pt
_chemical_formula_sum 'Cu3 Ir6 Pt3'
_cell_length_a 2.7447
_cell_length_b 2.7447
_cell_length_c 26.3430
_cell_angle_alpha 90.00
_cell_angle_beta 90.00
_cell_angle_gamma 120.00
_symmetry_space_group_name_H-M 'R -3 m'
_symmetry_Int_Tables_number 166
_symmetry_space_group_name_Hall '-R 3 2"'
loop_
_atom_site_label
_atom_site_fract_x
_atom_site_fract_y
_atom_site_fract_z
Cu1 0.0000 0.0000 0.0000
Ir1 0.0000 0.0000 0.2533
Pt1 0.0000 0.0000 0.5000

# As2WCl, relaxed, DFT PBE-GGA
# **Final energy**: -21.0 eV per cell
# **E above lowest polymorph**: 793 meV/atom
# **D(E_F)**: 0.967 states/eV/atom
# **Formation energy (no corrections)**: 0.7716 eV per atom
data_As2WCl
_chemical_formula_sum 'As2 W1 Cl1'
_cell_length_a 4.987
_cell_length_b 4.987
_cell_length_c 2.832
_cell_angle_alpha 90.00
_cell_angle_beta 90.00
_cell_angle_gamma 90.00
_symmetry_space_group_name_H-M 'P 4/m m m'
_symmetry_Int_Tables_number 123
_symmetry_space_group_name_Hall '-P 4 2'
loop_
_atom_site_label
_atom_site_fract_x
_atom_site_fract_y
_atom_site_fract_z
As1 0.000 0.500 0.000
W1 0.000 0.000 0.500
Cl1 0.500 0.500 0.500

# LiZr2ScAs4, relaxed, DFT PBE-GGA
# **Final energy**: -52.2 eV per cell
# **D(E_F)**: 0.223 states/eV/atom
data_LiZr2ScAs4
_chemical_formula_sum 'Li1 Zr2 Sc1 As4'
_cell_length_a 6.674
_cell_length_b 3.839
_cell_length_c 6.765
_cell_angle_alpha 90.00
_cell_angle_beta 108.74
_cell_angle_gamma 90.00
_symmetry_space_group_name_H-M 'P 1 2/m 1'
_symmetry_Int_Tables_number 10
loop_
_symmetry_equiv_pos_as_xyz
'x,y,z'
'-x,-y,-z'
'-x,y,-z'
'x,-y,z'
loop_
_atom_site_label
_atom_site_fract_x
_atom_site_fract_y
_atom_site_fract_z
Li1 0.000 0.000 0.000
Zr1 0.000 0.500 0.500
Zr2 0.500 0.000 0.500
Sc1 0.500 0.500 0.000
As1 0.248 0.000 0.753
As2 0.250 0.500 0.250

# ErUAl, relaxed, DFT PBE-GGA
# **Final energy**: -77.1 eV per cell
# **D(E_F)**: 1.468 states/eV/atom
data_ErUAl
_chemical_formula_sum 'Er4 U4 Al4'
_cell_length_a 3.101
_cell_length_b 18.569
_cell_length_c 4.700
_cell_angle_alpha 90.00
_cell_angle_beta 90.00
_cell_angle_gamma 90.00
_symmetry_space_group_name_H-M 'C m c m'
_symmetry_Int_Tables_number 63
_symmetry_space_group_name_Hall '-C 2c 2'
loop_
_atom_site_label
_atom_site_fract_x
_atom_site_fract_y
_atom_site_fract_z
Er1 0.000 0.130 0.250
U1 0.000 0.470 0.250
Al1 0.000 0.296 0.250

# CeNi4GeP2, relaxed, DFT PBE-GGA
# **Final energy**: -50.0 eV per cell
# **D(E_F)**: 1.064 states/eV/atom
data_CeNi4GeP2
_chemical_formula_sum 'Ce1 Ni4 Ge1 P2'
_cell_length_a 3.942
_cell_length_b 3.942
_cell_length_c 7.355
_cell_angle_alpha 90.00
_cell_angle_beta 90.00
_cell_angle_gamma 90.00
_symmetry_space_group_name_H-M 'P 4/m m m'
_symmetry_Int_Tables_number 123
_symmetry_space_group_name_Hall '-P 4 2'
loop_
_atom_site_label
_atom_site_fract_x
_atom_site_fract_y
_atom_site_fract_z
Ce1 0.000 0.000 0.000
Ni1 0.000 0.500 0.314
Ge1 0.000 0.000 0.500
P1 0.500 0.500 0.161

# AlCu2C, relaxed, DFT PBE-GGA
# **Final energy**: -68.0 eV per cell
# **E above lowest polymorph**: 224 meV/atom
# **D(E_F)**: 0.773 states/eV/atom
data_AlCu2C
_chemical_formula_sum 'Al4 Cu8 C4'
_cell_length_a 5.690
_cell_length_b 5.690
_cell_length_c 5.690
_cell_angle_alpha 90.00
_cell_angle_beta 90.00
_cell_angle_gamma 90.00
_symmetry_space_group_name_H-M 'F m -3 m'
_symmetry_Int_Tables_number 225
_symmetry_space_group_name_Hall '-F 4 2 3'
loop_
_atom_site_label
_atom_site_fract_x
_atom_site_fract_y
_atom_site_fract_z
Al1 0.000 0.000 0.000
Cu1 0.250 0.250 0.250
C1 0.000 0.000 0.500

# Nd2ZnGa3Ni4, relaxed, DFT PBE-GGA
# **Final energy**: -48.0 eV per cell
# **D(E_F)**: 0.804 states/eV/atom
data_Nd2ZnGa3Ni4
_chemical_formula_sum 'Nd2 Zn1 Ga3 Ni4'
_cell_length_a 4.195
_cell_length_b 4.195
_cell_length_c 9.754
_cell_angle_alpha 90.00
_cell_angle_beta 90.00
_cell_angle_gamma 90.00
_symmetry_space_group_name_H-M 'P -4 m 2'
_symmetry_Int_Tables_number 115
loop_
_symmetry_equiv_pos_as_xyz
'x,y,z'
'y,-x,-z'
'-x,-y,z'
'-y,x,-z'
'-x,y,z'
'-y,-x,-z'
'x,-y,z'
'y,x,-z'
loop_
_atom_site_label
_atom_site_fract_x
_atom_site_fract_y
_atom_site_fract_z
Nd1 0.000 0.500 0.244
Zn1 0.000 0.000 0.500
Ga1 0.000 0.500 0.877
Ga2 0.500 0.500 0.500
Ni1 0.000 0.000 0.000
Ni2 0.000 0.500 0.631
Ni3 0.500 0.500 0.000